A plane-wave DFT calculation with GGA+U was carried out for a geometry-optimized Np3Cr5O12 structure.

Values from the calculation:
The density of states at the Fermi level is 215.96 states/eV per cell. As for the total energy: -8.954 eV per atom. The value obtained for the volume is 12.6 Å³/atom. The value obtained for the total magnetic moment is 216.00 μB/cell.

Unit cell a=12.640 b=12.640 c=12.640 alpha=90.00 beta=90.00 gamma=90.00
Space group Ia-3d (No. 230)
Asymmetric unit:
Np: 0.000 0.250 0.125 x24
Cr: 0.000 0.000 0.000 x16
Cr: 0.000 0.250 0.375 x24
O: 0.021 0.059 0.650 x96